## Er2Cd6Ag (PBE)

Data for a relaxed structure of Er2Cd6Ag.

Unit cell a=3.271 b=8.585 c=8.585 alpha=60.00 beta=89.93 gamma=89.93
Sites, in units of the cell vectors:
Cd: 0.499 0.000 0.672
Cd: 0.501 0.328 0.000
Cd: 0.501 0.000 0.328
Cd: 0.500 0.328 0.672
Cd: 0.500 0.672 0.328
Cd: 0.499 0.672 0.000
Er: 0.000 0.667 0.667
Er: 0.000 0.333 0.333
Ag: 0.000 0.000 0.000

Results
symmetry = C2/m (12)

## Ce6RuPb (PBE)

Data for a relaxed structure of Ce6RuPb.

Unit cell a=6.244 b=6.244 c=6.290 alpha=101.72 beta=101.72 gamma=101.70
Sites, in units of the cell vectors:
Ru: 0.500 0.500 0.500
Ce: 0.180 0.587 0.189
Ce: 0.820 0.413 0.811
Ce: 0.185 0.185 0.592
Ce: 0.413 0.820 0.811
Ce: 0.815 0.815 0.408
Ce: 0.587 0.180 0.189
Pb: 0.000 0.000 0.000

Results
symmetry = C2/m (12)

## Ac2LaPrTm (PBE)

Data for a relaxed structure of Ac2LaPrTm.

Unit cell a=6.917 b=8.830 c=6.525 alpha=90.00 beta=90.00 gamma=90.00
Sites, in units of the cell vectors:
La: 0.584 0.000 0.250
La: 0.416 0.000 0.750
Pr: 0.188 0.500 0.750
Pr: 0.812 0.500 0.250
Ac: 0.285 0.709 0.250
Ac: 0.715 0.291 0.750
Ac: 0.285 0.291 0.250
Ac: 0.715 0.709 0.750
Tm: 0.000 0.000 0.500
Tm: 0.000 0.000 0.000

Results
symmetry = Pmma (51)

These records have formation energy values of -0.174, -0.119, 0.224 eV/atom, in the order they appear.
These records have M_tot values of 0.00, 3.80, 0.00 μB/f.u., in the order they appear.